Record 1
PBE HoGeBi, optimized geometry; ΔH_f (0 K) = -0.546 eV per atom; SG = No. 63; M_tot = 0.0000 μB/atom; energy above the lowest structure with this stoichiometry = 0.000 eV/f.u.; raw total energy = -29.43 eV for the cell shown
1.0
4.197 0.000 0.000
0.000 4.344 -1.131
0.000 -0.121 8.443
Ge Ho Bi
2 2 2
Direct
0.250 0.448 0.896
0.750 0.552 0.104
0.750 0.907 0.815
0.250 0.093 0.185
0.750 0.253 0.505
0.250 0.747 0.495



Record 2
PBE Ho4Ge2Bi, optimized geometry; ΔH_f (0 K) = -0.633 eV per atom; SG = No. 74; M_tot = 0.0001 μB/atom; raw total energy = -71.72 eV for the cell shown
1.0
8.064 -1.042 -0.166
-1.621 7.968 0.165
-3.102 -3.573 6.616
Ge Ho Bi
4 8 2
Direct
0.625 0.875 0.250
0.625 0.375 0.750
0.625 0.375 0.250
0.125 0.375 0.750
0.912 0.231 0.319
0.407 0.088 0.319
0.843 0.662 0.181
0.338 0.157 0.819
0.912 0.593 0.681
0.338 0.519 0.181
0.769 0.088 0.681
0.481 0.662 0.819
0.250 0.750 0.500
0.000 0.000 0.000



Record 3
PBE HoGeBi, optimized geometry; ΔH_f (0 K) = -0.303 eV per atom; SG = No. 84; M_tot = 0.0000 μB/atom; energy above the lowest structure with this stoichiometry = 0.729 eV/f.u.; raw total energy = -55.93 eV for the cell shown
1.0
3.935 0.000 0.000
0.000 9.561 0.000
0.000 0.000 9.561
Bi Ge Ho
4 4 4
Direct
0.000 0.117 0.685
0.000 0.883 0.315
0.500 0.315 0.117
0.500 0.685 0.883
0.000 0.621 0.651
0.500 0.349 0.621
0.500 0.651 0.379
0.000 0.379 0.349
0.500 0.147 0.393
0.500 0.853 0.607
0.000 0.393 0.853
0.000 0.607 0.147



Record 4
PBE HoGe2BiO8, optimized geometry; SG = No. 119; M_tot = 0.0000 μB/atom; raw total energy = -78.64 eV for the cell shown
1.0
5.922 0.091 0.000
-2.545 5.348 0.000
-1.689 -2.720 4.983
O Ge Ho Bi
8 2 1 1
Direct
0.307 0.488 0.181
0.874 0.693 0.181
0.940 0.623 0.683
0.940 0.257 0.317
0.377 0.060 0.317
0.512 0.693 0.819
0.743 0.060 0.683
0.307 0.126 0.819
0.500 0.500 0.000
0.750 0.250 0.500
0.250 0.750 0.500
0.000 0.000 0.000



Record 5
PBE HoGeBiO5, optimized geometry; SG = No. 15; M_tot = 0.0000 μB/atom; raw total energy = -109.51 eV for the cell shown
1.0
-5.377 -2.352 0.765
4.066 -3.925 1.757
0.276 5.205 5.628
Ho O Bi Ge
2 10 2 2
Direct
0.000 0.000 0.500
0.000 0.000 0.000
0.662 0.080 0.362
0.596 0.736 0.928
0.404 0.264 0.072
0.106 0.894 0.250
0.264 0.404 0.572
0.920 0.338 0.138
0.894 0.106 0.750
0.736 0.596 0.428
0.080 0.662 0.862
0.338 0.920 0.638
0.325 0.675 0.250
0.675 0.325 0.750
0.323 0.677 0.750
0.677 0.323 0.250



Record 6
PBE HoGeBiO6, optimized geometry; SG = No. 149; M_tot = 0.0000 μB/atom; raw total energy = -57.95 eV for the cell shown
1.0
4.591 0.000 0.000
0.000 5.380 0.000
0.000 -2.690 4.659
Ho Bi O Ge
1 1 6 1
Direct
0.500 0.667 0.333
0.000 0.333 0.667
0.263 0.011 0.704
0.737 0.011 0.307
0.263 0.296 0.307
0.737 0.296 0.989
0.737 0.693 0.704
0.263 0.693 0.989
0.500 0.000 0.000



Record 7
PBE HoGe2Bi2Pt7, optimized geometry; ΔH_f (0 K) = -0.583 eV per atom; SG = No. 12; M_tot = 0.0000 μB/atom; raw total energy = -70.86 eV for the cell shown
1.0
-3.888 0.138 1.016
0.147 -3.866 1.095
2.048 2.369 15.422
Pt Bi Ho Ge
7 2 1 2
Direct
0.931 0.431 0.140
0.698 0.698 0.605
0.569 0.069 0.860
0.302 0.302 0.395
0.500 0.500 0.000
0.431 0.931 0.140
0.069 0.569 0.860
0.790 0.790 0.421
0.210 0.210 0.579
0.000 0.000 0.000
0.383 0.383 0.236
0.617 0.617 0.764



Record 8
PBE Ho2Ge2BiRh5, optimized geometry; ΔH_f (0 K) = -0.732 eV per atom; SG = No. 127; M_tot = 0.0000 μB/atom; raw total energy = -132.70 eV for the cell shown
1.0
3.696 0.000 0.000
0.000 9.856 0.000
0.000 0.000 9.856
Rh Ge Bi Ho
10 4 2 4
Direct
0.500 0.000 0.500
0.500 0.217 0.070
0.500 0.500 0.000
0.500 0.717 0.430
0.500 0.930 0.217
0.500 0.570 0.717
0.500 0.783 0.930
0.500 0.283 0.570
0.500 0.430 0.283
0.500 0.070 0.783
0.000 0.880 0.380
0.000 0.120 0.620
0.000 0.380 0.120
0.000 0.620 0.880
0.000 0.500 0.500
0.000 0.000 0.000
0.000 0.824 0.676
0.000 0.176 0.324
0.000 0.324 0.824
0.000 0.676 0.176



Record 9
PBE Ho4GeBi2Se, optimized geometry; SG = No. 10; M_tot = 0.0000 μB/atom; raw total energy = -42.78 eV for the cell shown
1.0
-3.779 -1.405 -1.373
-1.826 -1.844 6.914
-2.151 7.057 -1.303
Ho Ge Se Bi
4 1 1 2
Direct
0.000 0.264 0.774
0.500 0.747 0.770
0.000 0.736 0.226
0.500 0.253 0.230
0.500 0.500 0.000
0.000 0.000 0.000
0.000 0.500 0.500
0.500 0.000 0.500



Record 10
PBE Ho4GeBiSe2, optimized geometry; SG = No. 10; M_tot = 0.0000 μB/atom; raw total energy = -44.32 eV for the cell shown
1.0
4.193 0.000 0.000
0.000 7.215 -0.120
0.000 2.563 6.869
Se Bi Ho Ge
2 1 4 1
Direct
0.500 0.000 0.500
0.000 0.000 0.000
0.500 0.500 0.000
0.500 0.743 0.266
0.500 0.257 0.734
0.000 0.247 0.269
0.000 0.753 0.731
0.000 0.500 0.500



Record 11
PBE Ho6GeBi2Te3, optimized geometry; SG = No. 12; M_tot = 0.0000 μB/atom; raw total energy = -62.64 eV for the cell shown
1.0
-0.114 3.628 -2.382
-8.304 -1.676 -2.155
-0.804 3.371 9.128
Te Ho Bi Ge
3 6 2 1
Direct
0.171 0.836 0.342
0.829 0.164 0.658
0.500 0.500 0.000
0.999 0.221 0.998
0.665 0.582 0.330
0.347 0.923 0.695
0.335 0.418 0.670
0.653 0.077 0.305
0.001 0.779 0.002
0.167 0.334 0.334
0.833 0.666 0.666
0.500 0.000 0.000



Record 12
PBE Ge2Bi2I, optimized geometry; SG = No. 139; M_tot = 0.0000 μB/atom; energy above the lowest structure with this stoichiometry = 0.000 eV/f.u.; raw total energy = -18.42 eV for the cell shown
1.0
-3.791 0.036 -2.411
-2.391 -0.638 3.750
-3.633 7.431 1.639
Ge Bi I
2 2 1
Direct
0.750 0.250 0.500
0.250 0.750 0.500
0.631 0.631 0.739
0.369 0.369 0.261
0.000 0.000 0.000



Question: Which of these has the lowest raw total energy?
Answer: Ho2Ge2BiRh5